1.
This record from Alexandria via LeMat-Bulk describes a crystal of BeHgRh2 relaxed with PBEsol. The functional is meta-GGA SCAN.

As for the formation energy: -0.10 eV/atom. The offset from the most stable computed form comes out at 116 meV per atom. The calculation puts the density of states at the Fermi level at 4.996 states/eV per cell. As for the calculated density: 12.6 g/cm3.

The structure belongs to space group R-3m (No. 166, hexagonal axes); the cell edges are 2.8542, 2.8542 and 23.3099 Å and the angles 90.00°, 90.00° and 120.00°. The asymmetric unit holds Be at (0.0000, 0.0000, 0.0000), Hg at (0.0000, 0.0000, 0.5000) and Rh at (0.0000, 0.0000, 0.2660).

2.
This record from Alexandria via LeMat-Bulk describes a crystal of Hf2MgFeBr relaxed with PBEsol. The functional is meta-GGA SCAN.

The total energy comes out at -161.06 eV/cell. The calculation puts the density of states at the Fermi level at 4.242 states/eV per cell. As for the calculated density: 7.6 g/cm3.

The structure belongs to space group P4/mmm (No. 123); the cell edges are 5.079, 5.079 and 4.373 Å and the angles 90.00°, 90.00° and 90.00°. The asymmetric unit holds Hf at (0.000, 0.500, 0.000), Mg at (0.000, 0.000, 0.000), Fe at (0.000, 0.000, 0.500) and Br at (0.500, 0.500, 0.500).

3.
This record from Alexandria via LeMat-Bulk describes a crystal of BaNaPO4 relaxed with PBEsol. The functional is meta-GGA SCAN.

The offset from the most stable computed form comes out at 34 meV per atom. The calculation puts the density of states at the Fermi level at 0.000 states/eV per cell. As for the calculated density: 4.0 g/cm3.

The structure belongs to space group Pnma (No. 62); the cell edges are 7.802, 5.394 and 10.033 Å and the angles 90.00°, 90.00° and 90.00°. The asymmetric unit holds Ba at (0.023, 0.250, 0.189), Na at (0.116, 0.750, 0.449), P at (0.249, 0.250, 0.571), O at (0.053, 0.750, 0.091), O at (0.169, 0.014, 0.633) and O at (0.205, 0.250, 0.419).